The following is a DFT calculation (GGA-PBE) of a geometry-optimized SrCd2Ge structure.

Calculated values
Spin magnetization ... 0.00 Bohr magnetons per cell
Formation enthalpy at 0 K ... -71.3 meV per atom
Calculated volume ... 29.31 Å³/atom
Electronic total energy ... -16.83 eV/cell

a b c (Å): 10.8640 10.8640 10.8640
angles (deg): 154.66 154.66 36.14
Fractional positions:
1 Sr 0.0000 0.0000 0.0000
2 Sr 0.7500 0.2500 0.5000
3 Cd 0.2085 0.6250 0.0835
4 Cd 0.3750 0.4585 0.5835
5 Cd 0.5415 0.1250 0.9165
6 Cd 0.8750 0.7915 0.4165
7 Ge 0.2500 0.7500 0.5000
8 Ge 0.5000 0.5000 0.0000